No. 1
DFT (PBE-GGA) results for a geometry-optimized CeAlO3 structure.

Output
- Raw formation energy: -3064 meV/atom

a = 3.4797 Å, b = 6.2593 Å, c = 6.2580 Å
α = 73.66°, β = 89.85°, γ = 89.85°
Site moments in Bohr magnetons follow the coordinates.
Fractional positions:
O 0.5157 0.2734 0.3204  -0.01
O 0.5155 0.8814 0.7128  -0.01
O 0.5330 0.3494 0.7882  -0.01
O 0.9515 0.5550 0.9940  -0.01
O 0.9693 0.0230 0.0695  -0.01
O 0.9690 0.6309 0.4618  -0.01
Al 0.7423 0.2753 0.0680  0.00
Al 0.7423 0.6291 0.7142  0.00
Ce 0.4375 0.7362 0.1750  0.95
Ce 0.0471 0.1681 0.6072  0.95

***

No. 2
DFT (PBE-GGA) results for a geometry-optimized Ce6AlO12 structure.

Output
- Raw formation energy: -3353 meV/atom

a = 6.5954 Å, b = 6.5954 Å, c = 6.5954 Å
α = 98.92°, β = 98.92°, γ = 98.92°
Site moments in Bohr magnetons follow the coordinates.
Fractional positions:
O 0.9342 0.0441 0.7032  -0.02
O 0.5624 0.4089 0.8233  -0.02
O 0.4089 0.8233 0.5624  -0.02
O 0.4376 0.5911 0.1767  -0.02
O 0.7032 0.9342 0.0441  -0.02
O 0.9559 0.2968 0.0658  -0.02
O 0.8233 0.5624 0.4089  -0.02
O 0.5911 0.1767 0.4376  -0.02
O 0.0658 0.9559 0.2968  -0.02
O 0.0441 0.7032 0.9342  -0.02
O 0.1767 0.4376 0.5911  -0.02
O 0.2968 0.0658 0.9559  -0.02
Ce 0.8672 0.3998 0.7143  0.52
Ce 0.1328 0.6002 0.2857  0.52
Ce 0.7143 0.8672 0.3998  0.52
Ce 0.6002 0.2857 0.1328  0.52
Ce 0.3998 0.7143 0.8672  0.52
Ce 0.2857 0.1328 0.6002  0.52
Al 0.0000 0.0000 0.0000  0.00

***

Calculated magnetization in order - 2.00 3.15 μB/cell